[1]
CaPrH6Ir2 | PBE | optimized geometry

a b c (Å): 6.2302 6.2302 5.9132
angles (deg): 99.28 99.28 101.99
Element x y z (fractional)
Ca: 0.0956 0.9044 0.7500
Ca: 0.9044 0.0956 0.2500
Pr: 0.3443 0.6557 0.2500
Pr: 0.6557 0.3443 0.7500
H: 0.0284 0.7953 0.3627
H: 0.0629 0.5643 0.8779
H: 0.2047 0.9716 0.1373
H: 0.3044 0.3125 0.4449
H: 0.3125 0.3044 0.9449
H: 0.4357 0.9371 0.6221
H: 0.5643 0.0629 0.3779
H: 0.6875 0.6956 0.0551
H: 0.6956 0.6875 0.5551
H: 0.7953 0.0284 0.8627
H: 0.9371 0.4357 0.1221
H: 0.9716 0.2047 0.6373
Ir: 0.1825 0.4354 0.6828
Ir: 0.4354 0.1825 0.1828
Ir: 0.5646 0.8175 0.8172
Ir: 0.8175 0.5646 0.3172

Results
For the electronic total energy, the calculation gives -98.5 eV for the cell shown.

---

[2]
CsPH2C | PBE | optimized geometry

a b c (Å): 4.9186 4.9186 4.9522
angles (deg): 91.47 91.47 112.98
Element x y z (fractional)
Cs: 0.0000 0.0000 0.0000
P: 0.3518 0.6482 0.5000
H: 0.5670 0.2954 0.3312
H: 0.7046 0.4330 0.6688
C: 0.5575 0.4425 0.5000

Results
The energy above the lowest structure with this stoichiometry comes out at 0.00 eV/f.u.

---

[3]
LaMgZn2 | PBE | optimized geometry

a b c (Å): 4.9791 4.9791 3.7864
angles (deg): 90.00 90.00 90.00
Element x y z (fractional)
La: 0.0000 0.0000 0.0000
Mg: 0.5000 0.5000 0.0000
Zn: 0.0000 0.5000 0.5000
Zn: 0.5000 0.0000 0.5000

Results
The calculation puts the formation enthalpy at 0 K at -0.170 eV per atom.

---

[4]
TlIn2Pb6 | PBE | optimized geometry

a b c (Å): 6.8109 6.8109 15.0241
angles (deg): 90.00 90.00 90.00
Element x y z (fractional)
Tl: 0.0000 0.0000 0.0000
Tl: 0.5000 0.5000 0.5000
In: 0.0000 0.0000 0.3375
In: 0.0000 0.0000 0.6625
In: 0.5000 0.5000 0.1625
In: 0.5000 0.5000 0.8375
Pb: 0.1843 0.1843 0.5000
Pb: 0.1902 0.1902 0.1766
Pb: 0.1902 0.1902 0.8234
Pb: 0.3098 0.6902 0.3234
Pb: 0.3098 0.6902 0.6766
Pb: 0.3157 0.6843 0.0000
Pb: 0.6843 0.3157 0.0000
Pb: 0.6902 0.3098 0.3234
Pb: 0.6902 0.3098 0.6766
Pb: 0.8098 0.8098 0.1766
Pb: 0.8098 0.8098 0.8234
Pb: 0.8157 0.8157 0.5000

Results
The energy above the lowest structure with this stoichiometry comes out at 2.76 eV/f.u. The calculation puts the formation enthalpy at 0 K at 0.351 eV per atom.

---

[5]
LaOsBr | PBE | optimized geometry

a b c (Å): 5.0640 5.0640 5.0640
angles (deg): 60.00 60.00 60.00
Element x y z (fractional)
La: 0.0000 0.0000 0.0000
Os: 0.2500 0.2500 0.2500
Br: 0.7500 0.7500 0.7500

Results
The energy above the lowest structure with this stoichiometry comes out at 4.52 eV/f.u. For the raw formation energy, the calculation gives 49.0 kJ per mole of atoms.

---

[6]
BaCo2Pb | PBE | optimized geometry

a b c (Å): 5.9455 5.9455 5.9455
angles (deg): 145.37 123.77 67.75
Element x y z (fractional)
Ba: 0.0000 0.0000 0.0000
Co: 0.3214 0.8214 0.5000
Co: 0.4594 0.4594 0.0000
Pb: 0.6971 0.1971 0.5000

Results
The energy above the lowest structure with this stoichiometry comes out at 1.51 eV/f.u. The calculation puts the formation enthalpy at 0 K at 0.472 eV per atom.

---

[7]
Cu2PBr | PBE | optimized geometry

a b c (Å): 8.3504 8.3504 8.3504
angles (deg): 156.30 156.30 33.77
Element x y z (fractional)
Cu: 0.0000 0.0000 0.0000
Cu: 0.7500 0.2500 0.5000
P: 0.2500 0.7500 0.5000
Br: 0.5000 0.5000 0.0000

Results
The energy above the lowest structure with this stoichiometry comes out at 1.66 eV/f.u. For the raw formation energy, the calculation gives 38.9 kJ per mole of atoms.

---

[8]
KMnBr2 | PBE | optimized geometry

a b c (Å): 6.0541 6.0541 6.0541
angles (deg): 141.84 110.93 81.75
Element x y z (fractional)
K: 0.0000 0.0000 0.0000
Mn: 0.5000 0.5000 0.0000
Br: 0.3102 0.8102 0.5000
Br: 0.6898 0.1898 0.5000

Results
The energy above the lowest structure with this stoichiometry comes out at 0.27 eV/f.u. For the raw formation energy, the calculation gives -65.9 kJ per mole of atoms.

---

[9]
In2OsPb | PBE | optimized geometry

a b c (Å): 5.1853 5.1853 7.0010
angles (deg): 111.03 111.03 35.87
Element x y z (fractional)
In: 0.0000 0.0000 0.0000
In: 0.1756 0.1756 0.6649
Os: 0.7290 0.7290 0.0052
Pb: 0.3420 0.3420 0.3635

Results
The calculation puts the formation enthalpy at 0 K at 0.383 eV per atom.

---

[10]
Ba2Ge3PbAu4 | PBE | optimized geometry

a b c (Å): 4.7361 4.7361 11.1348
angles (deg): 90.00 90.00 90.00
Element x y z (fractional)
Ba: 0.0000 0.5000 0.2375
Ba: 0.5000 0.0000 0.7625
Ge: 0.0000 0.5000 0.8831
Ge: 0.5000 0.0000 0.1169
Ge: 0.5000 0.5000 0.5000
Pb: 0.0000 0.0000 0.5000
Au: 0.0000 0.0000 0.0000
Au: 0.0000 0.5000 0.6492
Au: 0.5000 0.0000 0.3508
Au: 0.5000 0.5000 0.0000

Results
The calculation puts the formation enthalpy at 0 K at -0.478 eV per atom.

---

[11]
NaGe | PBE | optimized geometry

a b c (Å): 8.9637 8.9637 8.9637
angles (deg): 92.81 92.81 154.44
Element x y z (fractional)
Na: 0.0379 0.2933 0.3311
Na: 0.2933 0.9621 0.2554
Na: 0.7067 0.0379 0.7446
Na: 0.9621 0.7067 0.6689
Ge: 0.1998 0.7214 0.9211
Ge: 0.2786 0.1998 0.4784
Ge: 0.7214 0.8002 0.5216
Ge: 0.8002 0.2786 0.0789

Results
The calculation puts the formation enthalpy at 0 K at 0.051 eV per atom.

---

[12]
Ac6Si2C | PBE | optimized geometry

a b c (Å): 6.9484 8.5115 12.1625
angles (deg): 90.00 123.28 90.00
Element x y z (fractional)
Ac: 0.1094 0.1599 0.4407
Ac: 0.1094 0.3401 0.9407
Ac: 0.3055 0.7030 0.4441
Ac: 0.3055 0.7970 0.9441
Ac: 0.3732 0.0351 0.2487
Ac: 0.3732 0.4649 0.7487
Ac: 0.6268 0.5351 0.2513
Ac: 0.6268 0.9649 0.7513
Ac: 0.6945 0.2030 0.0559
Ac: 0.6945 0.2970 0.5559
Ac: 0.8906 0.6599 0.0593
Ac: 0.8906 0.8401 0.5593
Si: 0.1939 0.1182 0.7554
Si: 0.1939 0.3818 0.2554
Si: 0.8061 0.6182 0.7446
Si: 0.8061 0.8818 0.2446
C: 0.5000 0.0000 0.5000
C: 0.5000 0.5000 0.0000

Results
For the raw formation energy, the calculation gives -22.5 kJ per mole of atoms.

---

[13]
Tb3TmGa4 | PBE | optimized geometry

a b c (Å): 8.7650 8.7650 8.7650
angles (deg): 33.45 33.45 33.45
Element x y z (fractional)
Tb: 0.0000 0.0000 0.0000
Tb: 0.2494 0.2494 0.2494
Tb: 0.7506 0.7506 0.7506
Tm: 0.5000 0.5000 0.5000
Ga: 0.1257 0.1257 0.1257
Ga: 0.3757 0.3757 0.3757
Ga: 0.6243 0.6243 0.6243
Ga: 0.8743 0.8743 0.8743

Results
The energy above the lowest structure with this stoichiometry comes out at 0.00 eV/f.u. The calculation puts the formation enthalpy at 0 K at -0.579 eV per atom.

---

[14]
TaCo2Ag | PBE | optimized geometry

a b c (Å): 4.2707 4.2707 4.2707
angles (deg): 60.00 60.00 60.00
Element x y z (fractional)
Ta: 0.0000 0.0000 0.0000
Co: 0.2500 0.2500 0.2500
Co: 0.7500 0.7500 0.7500
Ag: 0.5000 0.5000 0.5000

Results
The energy above the lowest structure with this stoichiometry comes out at 0.33 eV/f.u. The calculation puts the formation enthalpy at 0 K at 0.113 eV per atom.

---

[15]
LiCaScCd | PBE | optimized geometry

a b c (Å): 5.1915 5.1915 5.1915
angles (deg): 60.00 60.00 60.00
Element x y z (fractional)
Li: 0.0000 0.0000 0.0000
Ca: 0.2500 0.2500 0.2500
Sc: 0.7500 0.7500 0.7500
Cd: 0.5000 0.5000 0.5000

Results
The calculation puts the formation enthalpy at 0 K at -0.085 eV per atom.

---

[16]
Sc2U2Se7 | PBE | optimized geometry

a b c (Å): 4.7335 4.7335 13.2212
angles (deg): 90.00 90.00 90.00
Element x y z (fractional)
Sc: 0.0000 0.5000 0.1348
Sc: 0.5000 0.0000 0.8652
U: 0.0000 0.5000 0.6296
U: 0.5000 0.0000 0.3704
Se: 0.0000 0.0000 0.2226
Se: 0.0000 0.0000 0.5000
Se: 0.0000 0.0000 0.7774
Se: 0.5000 0.5000 0.0000
Se: 0.5000 0.5000 0.2492
Se: 0.5000 0.5000 0.5000
Se: 0.5000 0.5000 0.7508

Results
The energy above the lowest structure with this stoichiometry comes out at 0.37 eV/f.u. For the raw formation energy, the calculation gives -115.9 kJ per mole of atoms.

---

[17]
TcSn3B | PBE | optimized geometry

a b c (Å): 5.1474 5.1474 5.1474
angles (deg): 90.00 90.00 90.00
Element x y z (fractional)
Tc: 0.0000 0.0000 0.0000
Sn: 0.0000 0.0000 0.5000
Sn: 0.0000 0.5000 0.0000
Sn: 0.5000 0.0000 0.0000
B: 0.5000 0.5000 0.5000

Results
The energy above the lowest structure with this stoichiometry comes out at 0.00 eV/f.u. The calculation puts the formation enthalpy at 0 K at 1.088 eV per atom.

---

[18]
DyFeBr | PBE | optimized geometry

a b c (Å): 11.9001 11.9001 11.9001
angles (deg): 18.71 18.71 18.71
Element x y z (fractional)
Dy: 0.0563 0.0563 0.0563
Dy: 0.9437 0.9437 0.9437
Fe: 0.3354 0.3354 0.3354
Fe: 0.6646 0.6646 0.6646
Br: 0.2222 0.2222 0.2222
Br: 0.7778 0.7778 0.7778

Results
For the raw formation energy, the calculation gives -90.2 kJ per mole of atoms.

---

[19]
Cd2WBr | PBE | optimized geometry

a b c (Å): 3.0966 3.0966 8.9466
angles (deg): 90.00 90.00 103.81
Element x y z (fractional)
Cd: 0.0000 0.0000 0.2364
Cd: 0.0000 0.0000 0.7636
W: 0.5000 0.5000 0.0000
Br: 0.5000 0.5000 0.5000

Results
The energy above the lowest structure with this stoichiometry comes out at 0.29 eV/f.u. For the raw formation energy, the calculation gives 51.0 kJ per mole of atoms.

---

[20]
CaNiCl2 | PBE | optimized geometry

a b c (Å): 5.6383 5.6383 5.6383
angles (deg): 43.01 43.01 43.01
Element x y z (fractional)
Ca: 0.0000 0.0000 0.0000
Ni: 0.5000 0.5000 0.5000
Cl: 0.2377 0.2377 0.2377
Cl: 0.7623 0.7623 0.7623

Results
The energy above the lowest structure with this stoichiometry comes out at 1.24 eV/f.u. For the raw formation energy, the calculation gives -84.2 kJ per mole of atoms.

---

[21]
Bi2BPbC | PBE | optimized geometry

a b c (Å): 6.2675 6.2675 3.0038
angles (deg): 90.00 90.00 90.00
Element x y z (fractional)
Bi: 0.0000 0.5000 0.0000
Bi: 0.5000 0.0000 0.0000
B: 0.0000 0.0000 0.5000
Pb: 0.5000 0.5000 0.5000
C: 0.0000 0.0000 0.0000

Results
The calculation puts the formation enthalpy at 0 K at 0.589 eV per atom.

---

[22]
ScAgTe2 | PBE | optimized geometry

a b c (Å): 3.3317 3.3317 9.8978
angles (deg): 90.00 90.00 101.48
Element x y z (fractional)
Sc: 0.0000 0.0000 0.0000
Ag: 0.5000 0.5000 0.1990
Te: 0.0000 0.0000 0.4162
Te: 0.5000 0.5000 0.8014

Results
For the raw formation energy, the calculation gives -27.4 kJ per mole of atoms.

---

[23]
Eu2CdRh | PBE | optimized geometry

a b c (Å): 5.2337 5.2337 5.2337
angles (deg): 60.00 60.00 60.00
Element x y z (fractional)
Eu: 0.2500 0.2500 0.2500
Eu: 0.7500 0.7500 0.7500
Cd: 0.0000 0.0000 0.0000
Rh: 0.5000 0.5000 0.5000

Results
The energy above the lowest structure with this stoichiometry comes out at 0.23 eV/f.u. The calculation puts the formation enthalpy at 0 K at -0.303 eV per atom.

---

[24]
KPtSe2 | PBE | optimized geometry

a b c (Å): 5.9026 5.9026 6.3452
angles (deg): 122.45 122.45 36.75
Element x y z (fractional)
K: 0.0000 0.0000 0.0000
Pt: 0.5000 0.5000 0.5000
Se: 0.1730 0.1730 0.6746
Se: 0.8270 0.8270 0.3254

Results
For the raw formation energy, the calculation gives -59.9 kJ per mole of atoms.

---

[25]
CoPSN2 | PBE | optimized geometry

a b c (Å): 3.4313 3.4313 7.9624
angles (deg): 90.00 90.00 90.00
Element x y z (fractional)
Co: 0.0000 0.0000 0.0000
P: 0.5000 0.5000 0.5000
S: 0.0000 0.0000 0.5000
N: 0.0000 0.5000 0.0000
N: 0.5000 0.0000 0.0000

Results
The energy above the lowest structure with this stoichiometry comes out at 1.73 eV/f.u. For the raw formation energy, the calculation gives 109.3 kJ per mole of atoms.